1.
# AcHoIn2Hg2

Crystalline AcHoIn2Hg2 at its relaxed geometry (GGA-PBE, Alexandria).

abc: 4.9505 4.9505 7.8597
angles: 90.00 90.00 120.00
Fractional coordinates of all 6 atoms:
1 Ac 0.0000 0.0000 0.0000
2 Ho 0.0000 0.0000 0.5000
3 In 0.3333 0.6667 0.2637
4 In 0.6667 0.3333 0.7363
5 Hg 0.3333 0.6667 0.6890
6 Hg 0.6667 0.3333 0.3110

Values from the calculation:
energy of formation from the pure elements = -0.45 eV per atom
mass density = 10.181 Mg/m³

2.
# AcHoInHg

Crystalline AcHoInHg at its relaxed geometry (GGA-PBE, Alexandria).

abc: 5.5582 5.5582 5.5582
angles: 60.00 60.00 60.00
Fractional coordinates of all 4 atoms:
1 Ac 0.0000 0.0000 0.0000
2 Ho 0.5000 0.5000 0.5000
3 In 0.2500 0.2500 0.2500
4 Hg 0.7500 0.7500 0.7500

Values from the calculation:
energy of formation from the pure elements = -0.41 eV per atom
mass density = 9.673 Mg/m³

3.
# AcHoHgIr

Crystalline AcHoHgIr at its relaxed geometry (GGA-PBE, Alexandria).

abc: 5.2619 5.2619 5.2619
angles: 60.00 60.00 60.00
Fractional coordinates of all 4 atoms:
1 Ac 0.0000 0.0000 0.0000
2 Ho 0.5000 0.5000 0.5000
3 Hg 0.7500 0.7500 0.7500
4 Ir 0.2500 0.2500 0.2500

Values from the calculation:
energy of formation from the pure elements = -0.46 eV per atom
mass density = 12.649 Mg/m³

4.
# AcLaHo2Hg4

Crystalline AcLaHo2Hg4 at its relaxed geometry (GGA-PBE, Alexandria).

abc: 9.5112 9.5112 9.5112
angles: 33.22 33.22 33.22
Fractional coordinates of all 8 atoms:
1 Ac 0.0000 0.0000 0.0000
2 La 0.5000 0.5000 0.5000
3 Ho 0.2477 0.2477 0.2477
4 Ho 0.7523 0.7523 0.7523
5 Hg 0.1266 0.1266 0.1266
6 Hg 0.3784 0.3784 0.3784
7 Hg 0.6216 0.6216 0.6216
8 Hg 0.8734 0.8734 0.8734

Values from the calculation:
energy of formation from the pure elements = -0.45 eV per atom
mass density = 10.821 Mg/m³

5.
# AcLaHoHg

Crystalline AcLaHoHg at its relaxed geometry (GGA-PBE, Alexandria).

abc: 5.6770 5.6770 5.6770
angles: 60.00 60.00 60.00
Fractional coordinates of all 4 atoms:
1 Ac 0.0000 0.0000 0.0000
2 La 0.2500 0.2500 0.2500
3 Ho 0.7500 0.7500 0.7500
4 Hg 0.5000 0.5000 0.5000

Values from the calculation:
energy of formation from the pure elements = 0.02 eV per atom
mass density = 9.388 Mg/m³

6.
# Li2Ac3Ho2Hg4

Crystalline Li2Ac3Ho2Hg4 at its relaxed geometry (GGA-PBE, Alexandria).

abc: 5.0797 5.0797 14.9516
angles: 90.00 90.00 120.00
Fractional coordinates of all 11 atoms:
1 Li 0.3333 0.6667 0.1366
2 Li 0.6667 0.3333 0.8634
3 Ac 0.0000 0.0000 0.0000
4 Ac 0.0000 0.0000 0.2540
5 Ac 0.0000 0.0000 0.7460
6 Ho 0.3333 0.6667 0.5723
7 Ho 0.6667 0.3333 0.4277
8 Hg 0.3333 0.6667 0.3692
9 Hg 0.3333 0.6667 0.8700
10 Hg 0.6667 0.3333 0.1300
11 Hg 0.6667 0.3333 0.6308

Values from the calculation:
energy of formation from the pure elements = -0.26 eV per atom
mass density = 9.081 Mg/m³